(1)
A plane-wave DFT calculation with PBE was carried out for an optimized crystal structure of KTl8Au4.

Lattice parameters (Å, degrees): 5.764 8.353 8.353 83.16 69.82 69.82
Fractional coordinates of all 13 atoms:
Au 0.000 0.000 0.500
Au 0.000 0.500 0.000
Au 0.500 0.000 0.500
Au 0.500 0.500 0.000
Tl 0.000 0.352 0.648
Tl 0.000 0.648 0.352
Tl 0.500 0.785 0.215
Tl 0.715 0.785 0.785
Tl 0.285 0.215 0.215
Tl 0.648 0.352 0.352
Tl 0.500 0.215 0.785
Tl 0.352 0.648 0.648
K 0.000 0.000 0.000

Properties
formation enthalpy at 0 K	-0.032	eV per atom
VASP energy	-2.58	eV per atom

=====

(2)
A plane-wave DFT calculation with PBE was carried out for an optimized crystal structure of TiVPd3.

Lattice parameters (Å, degrees): 2.845 6.098 10.007 63.83 81.83 76.51
Fractional coordinates of all 10 atoms:
V 0.786 0.858 0.168
V 0.902 0.903 0.891
Ti 0.291 0.315 0.700
Ti 0.397 0.446 0.359
Pd 0.489 0.540 0.081
Pd 0.590 0.646 0.772
Pd 0.200 0.221 0.978
Pd 0.098 0.115 0.287
Pd 0.979 0.061 0.579
Pd 0.709 0.700 0.480

Properties
formation enthalpy at 0 K	-0.305	eV per atom
VASP energy	-6.82	eV per atom

=====

(3)
A plane-wave DFT calculation with PBE was carried out for an optimized crystal structure of YZn4Pd4.

Lattice parameters (Å, degrees): 4.761 8.061 8.061 90.00 90.00 90.00
Fractional coordinates of all 18 atoms:
Pd 0.998 0.351 0.075
Pd 0.002 0.925 0.351
Pd 0.502 0.149 0.425
Pd 0.998 0.649 0.925
Pd 0.002 0.075 0.649
Pd 0.498 0.425 0.851
Pd 0.498 0.575 0.149
Pd 0.502 0.851 0.575
Zn 0.502 0.123 0.764
Zn 0.502 0.877 0.236
Zn 0.998 0.377 0.736
Zn 0.998 0.623 0.264
Zn 0.498 0.236 0.123
Zn 0.002 0.736 0.623
Zn 0.002 0.264 0.377
Zn 0.498 0.764 0.877
Y 0.500 0.500 0.500
Y 0.000 0.000 0.000

Properties
formation enthalpy at 0 K	-0.421	eV per atom
VASP energy	-4.01	eV per atom

=====

(4)
A plane-wave DFT calculation with PBE was carried out for an optimized crystal structure of Pm3PuO6.

Lattice parameters (Å, degrees): 6.975 6.975 6.975 91.53 91.53 91.53
Site moments in Bohr magnetons follow the coordinates.
Fractional coordinates of all 20 atoms:
Pu 0.500 0.500 0.500  4.79
Pu 0.000 0.000 0.000  4.97
O 0.398 0.185 0.528  -0.02
O 0.185 0.528 0.398  -0.02
O 0.472 0.602 0.815  -0.02
O 0.932 0.684 0.098  -0.02
O 0.602 0.815 0.472  -0.02
O 0.528 0.398 0.185  -0.02
O 0.316 0.902 0.068  -0.02
O 0.098 0.932 0.684  -0.02
O 0.684 0.098 0.932  -0.02
O 0.068 0.316 0.902  -0.02
O 0.815 0.472 0.602  -0.02
O 0.902 0.068 0.316  -0.02
Pm 0.749 0.445 0.938  0.03
Pm 0.251 0.555 0.062  0.03
Pm 0.938 0.749 0.445  0.03
Pm 0.062 0.251 0.555  0.03
Pm 0.555 0.062 0.251  0.03
Pm 0.445 0.938 0.749  0.03

Properties
formation energy without anion corrections	-3261	meV per atom
VASP energy	-9.09	eV per atom

=====

(5)
A plane-wave DFT calculation with PBE was carried out for an optimized crystal structure of LiCuAu3.

Lattice parameters (Å, degrees): 5.306 7.436 4.318 90.00 89.91 90.00
Fractional coordinates of all 10 atoms:
Au 0.296 0.937 0.244
Au 0.704 0.437 0.756
Au 0.296 0.563 0.244
Au 0.704 0.063 0.756
Au 0.993 0.250 0.257
Au 0.007 0.750 0.743
Li 0.245 0.250 0.756
Li 0.755 0.750 0.244
Cu 0.490 0.750 0.743
Cu 0.510 0.250 0.257

Properties
formation enthalpy at 0 K	-0.183	eV per atom
VASP energy	-3.35	eV per atom

=====

(6)
A plane-wave DFT calculation with PBE was carried out for an optimized crystal structure of ZnIrCl2.

Lattice parameters (Å, degrees): 6.400 6.400 6.400 147.99 147.99 45.91
Fractional coordinates of all 4 atoms:
Cl 0.250 0.750 0.500
Cl 0.000 0.000 0.000
Ir 0.500 0.500 0.000
Zn 0.750 0.250 0.500

Properties
formation energy without anion corrections	534	meV per atom
VASP energy	-2.92	eV per atom

=====

(7)
A plane-wave DFT calculation with PBE was carried out for an optimized crystal structure of SrCaPd.

Lattice parameters (Å, degrees): 6.786 4.299 4.299 120.00 90.00 90.00
Fractional coordinates of all 3 atoms:
Ca 0.231 0.333 0.667
Sr 0.755 0.667 0.333
Pd 0.014 0.000 0.000

Properties
formation enthalpy at 0 K	-0.413	eV per atom
VASP energy	-3.37	eV per atom

=====

(8)
A plane-wave DFT calculation with PBE was carried out for an optimized crystal structure of Li2As2HRh2.

Lattice parameters (Å, degrees): 3.959 3.959 6.887 106.70 106.70 90.00
Fractional coordinates of all 7 atoms:
Rh 0.500 0.000 0.000
Rh 0.000 0.500 0.000
Li 0.162 0.162 0.323
Li 0.838 0.838 0.677
As 0.630 0.630 0.260
As 0.370 0.370 0.740
H 0.000 0.000 0.000

Properties
VASP energy	-4.98	eV per atom